# meta-GGA SCAN CaYH2, single point on PBEsol structure
# **E**: -11.47 eV per atom
# **SG**: No. 122
data_CaYH2
_chemical_formula_sum 'Ca2 Y2 H4'
_space_group_name_H-M_alt 'P 1'
_space_group_IT_number 1
_cell_length_a 6.395
_cell_length_b 6.395
_cell_length_c 6.395
_cell_angle_alpha 131.86
_cell_angle_beta 131.86
_cell_angle_gamma 70.45
loop_
_space_group_symop_operation_xyz
'x,y,z'
loop_
_atom_site_label
_atom_site_fract_x
_atom_site_fract_y
_atom_site_fract_z
Ca1 0.000 0.000 0.000
Ca2 0.750 0.250 0.500
Y1 0.250 0.750 0.500
Y2 0.500 0.500 0.000
H1 0.158 0.625 0.033
H2 0.375 0.408 0.533
H3 0.592 0.125 0.967
H4 0.875 0.842 0.467